Entry 1:
A geometry-optimized BaZn2Ge structure. Source: Alexandria via LeMat-Bulk, functional PBE-GGA.

Results
- Density of states at the Fermi level: 4.954 states/eV per cell

Unit cell a=5.092 b=5.092 c=17.569 alpha=90.00 beta=90.00 gamma=90.00
Space group I4_1/amd (No. 141, origin choice 2)
One atom of each set of equivalent atoms:
Ba  0.000  0.250  0.375 [4 per cell]
Zn  0.000  0.000  0.000 [8 per cell]
Ge  0.000  0.250  0.875 [4 per cell]

Entry 2:
A geometry-optimized Ba2ZnGe2 structure. Source: Alexandria via LeMat-Bulk, functional PBE-GGA.

Results
- Excess energy over the best structure of this formula in the dataset: 0 meV/atom
- Density of states at the Fermi level: 7.603 states/eV per cell

Unit cell a=12.336 b=4.689 c=11.631 alpha=90.00 beta=115.16 gamma=90.00
Space group C2/m (No. 12)
One atom of each set of equivalent atoms:
Ba  0.108  0.000  0.407 [4 per cell]
Ba  0.214  0.500  0.151 [4 per cell]
Zn  0.055  0.500  0.814 [4 per cell]
Ge  0.041  0.000  0.916 [4 per cell]
Ge  0.100  0.500  0.611 [4 per cell]

Entry 3:
A geometry-optimized BaZnGe structure. Source: Alexandria via LeMat-Bulk, functional PBE-GGA.

Results
- Density of states at the Fermi level: 3.836 states/eV per cell

Unit cell a=4.4547 b=4.4547 c=19.7451 alpha=90.00 beta=90.00 gamma=120.00
Space group P6_3/mmc (No. 194)
One atom of each set of equivalent atoms:
Ba  0.0000  0.0000  0.0000 [2 per cell]
Ba  0.0000  0.0000  0.2500 [2 per cell]
Zn  0.3333  0.6667  0.1245 [4 per cell]
Ge  0.3333  0.6667  0.6248 [4 per cell]

Number 1: ρ 4.97 g/cm3, magnetization 0.00 μB per cell, DFT formation energy -0.205 eV per atom. Number 2: ρ 5.29 g/cm3, magnetization 0.00 μB per cell, DFT formation energy -0.473 eV per atom. Number 3: ρ 5.39 g/cm3, magnetization 0.00 μB per cell, DFT formation energy -0.486 eV per atom.